(1)
DFT (PBE-GGA) results for a relaxed BeCdBi3 crystal.

Total magnetic moment in μB/atom: 0.000
V in Å³/f.u.: 139
Total energy in eV per atom: -2.778
E above lowest polymorph in eV/atom: 0.000
ρ in g/cm³: 8.94
Symmetry: No. 221
Crystal system: cubic

The structure in extended XYZ format:
```
5
Lattice="5.181 0.000 0.000 0.000 5.181 0.000 0.000 0.000 5.181" Properties=species:S:1:pos:R:3 pbc="T T T"
Be 0.000 0.000 0.000
Cd 2.590 2.590 2.590
Bi 0.000 0.000 2.590
Bi 0.000 2.590 0.000
Bi 2.590 0.000 0.000
```


(2)
DFT (PBE-GGA) results for a relaxed Ba2MnFeNi crystal.

Total magnetic moment in μB/atom: 1.331
V in Å³/f.u.: 157
Total energy in eV per atom: -4.662
ρ in g/cm³: 4.69
Symmetry: No. 123
Crystal system: tetragonal

The structure in extended XYZ format:
```
5
Lattice="5.967 0.000 0.000 0.000 5.967 0.000 0.000 0.000 4.416" Properties=species:S:1:pos:R:3 pbc="T T T"
Ba 0.000 2.983 0.000
Ba 2.983 0.000 0.000
Mn 0.000 0.000 2.208
Fe 2.983 2.983 0.000
Ni 2.983 2.983 2.208
```


(3)
DFT (PBE-GGA) results for a relaxed Pr3Mg2Sn4 crystal.

Total magnetic moment in μB/atom: 0.000
V in Å³/f.u.: 253
Total energy in eV per atom: -4.320
E above lowest polymorph in eV/atom: 0.000
ρ in g/cm³: 6.22
Symmetry: No. 12
Crystal system: monoclinic

The structure in extended XYZ format:
```
9
Lattice="6.216 -2.329 0.000 6.216 2.329 0.000 -3.609 0.000 8.728" Properties=species:S:1:pos:R:3 pbc="T T T"
Pr 0.000 0.000 0.000
Pr 3.557 0.000 2.693
Pr 5.266 0.000 6.035
Mg 1.558 0.000 5.610
Mg 7.266 0.000 3.118
Sn -0.472 0.000 3.428
Sn 0.260 0.000 8.159
Sn 8.563 0.000 0.570
Sn 9.296 0.000 5.300
```


(4)
DFT (PBE-GGA) results for a relaxed CuW2Au crystal.

Total magnetic moment in μB/atom: 0.000
V in Å³/f.u.: 62
Total energy in eV per atom: -7.919
E above lowest polymorph in eV/atom: 0.175
ρ in g/cm³: 16.78
Symmetry: No. 10
Crystal system: monoclinic

The structure in extended XYZ format:
```
4
Lattice="2.716 0.000 0.000 0.000 4.259 0.000 -0.412 0.000 5.375" Properties=species:S:1:pos:R:3 pbc="T T T"
Cu 0.000 0.000 0.000
W 1.154 2.129 1.248
W 1.150 2.129 4.127
Au -0.206 0.000 2.687
```


(5)
DFT (PBE-GGA) results for a relaxed CaHg crystal.

Total magnetic moment in μB/atom: 0.000
V in Å³/f.u.: 65
Total energy in eV per atom: -1.377
ρ in g/cm³: 6.10
Symmetry: No. 164
Crystal system: trigonal

The structure in extended XYZ format:
```
4
Lattice="3.968 0.000 0.000 -1.984 3.437 0.000 0.000 0.000 9.604" Properties=species:S:1:pos:R:3 pbc="T T T"
Ca 0.000 2.291 1.603
Ca 1.984 1.146 8.002
Hg 0.000 2.291 5.842
Hg 1.984 1.146 3.762
```


(6)
DFT (PBE-GGA) results for a relaxed CeNd2H8 crystal.

Total magnetic moment in μB/atom: 0.079
V in Å³/f.u.: 120
Total energy in eV per atom: -4.408
ρ in g/cm³: 6.05
Symmetry: No. 71
Crystal system: orthorhombic

The structure in extended XYZ format:
```
11
Lattice="-1.906 2.750 5.714 1.906 -2.750 5.714 1.906 2.750 -5.714" Properties=species:S:1:pos:R:3 pbc="T T T"
Ce 0.000 0.000 0.000
Nd 0.000 0.000 3.782
Nd 0.000 0.000 7.646
H 1.906 -1.319 3.880
H 1.906 0.000 1.778
H 1.906 1.476 0.000
H 0.000 1.431 1.834
H 1.906 1.319 3.880
H 0.000 1.274 5.714
H 0.000 2.750 3.937
H 0.000 4.068 1.834
```


(7)
DFT (PBE-GGA) results for a relaxed PmSc2Ge crystal.

Total magnetic moment in μB/atom: 0.405
V in Å³/f.u.: 90
Total energy in eV per atom: -5.645
E above lowest polymorph in eV/atom: 0.344
ρ in g/cm³: 5.69
Symmetry: No. 225
Crystal system: cubic

The structure in extended XYZ format:
```
16
Lattice="7.108 0.000 0.000 0.000 7.108 0.000 0.000 0.000 7.108" Properties=species:S:1:pos:R:3 pbc="T T T"
Pm 0.000 0.000 0.000
Pm 0.000 3.554 3.554
Pm 3.554 0.000 3.554
Pm 3.554 3.554 0.000
Sc 1.777 1.777 1.777
Sc 1.777 1.777 5.331
Sc 1.777 5.331 1.777
Sc 1.777 5.331 5.331
Sc 5.331 1.777 1.777
Sc 5.331 1.777 5.331
Sc 5.331 5.331 1.777
Sc 5.331 5.331 5.331
Ge 0.000 0.000 3.554
Ge 0.000 3.554 0.000
Ge 3.554 0.000 0.000
Ge 3.554 3.554 3.554
```


(8)
DFT (PBE-GGA) results for a relaxed Cs crystal.

Total magnetic moment in μB/atom: 0.000
V in Å³/f.u.: 114
Total energy in eV per atom: -0.851
E above lowest polymorph in eV/atom: 0.003
ρ in g/cm³: 1.93
Symmetry: No. 2
Crystal system: triclinic

The structure in extended XYZ format:
```
2
Lattice="5.308 0.000 0.000 2.003 4.922 0.000 0.506 0.335 8.739" Properties=species:S:1:pos:R:3 pbc="T T T"
Cs 1.865 1.269 2.183
Cs 5.951 3.988 6.556
```